[1]
The following is a DFT calculation (GGA-PBE) of LaDy3Ho6Th2 after structural relaxation.

a = 6.178 Å, b = 6.178 Å, c = 11.701 Å
α = 95.06°, β = 95.06°, γ = 119.96°
Positions (direct):
La (0.000, 0.000, 0.000)
Dy (0.166, 0.834, 0.500)
Dy (0.500, 0.500, 0.500)
Dy (0.834, 0.166, 0.500)
Ho (0.084, 0.422, 0.249)
Ho (0.255, 0.255, 0.751)
Ho (0.422, 0.084, 0.249)
Ho (0.578, 0.916, 0.751)
Ho (0.745, 0.745, 0.249)
Ho (0.916, 0.578, 0.751)
Th (0.333, 0.667, 0.000)
Th (0.667, 0.333, 0.000)

Results
ΔE_f = 0.0297 eV per atom
Density of states at the Fermi level = 16.8 states/eV/cell
Total energy = -5.057 eV per atom

---

[2]
The following is a DFT calculation (GGA-PBE) of LaDy2Ho5Th after structural relaxation.

a = 10.309 Å, b = 10.309 Å, c = 10.491 Å
α = 90.00°, β = 90.00°, γ = 148.37°
Positions (direct):
La (0.085, 0.915, 0.500)
La (0.915, 0.085, 0.000)
Dy (0.387, 0.613, 0.787)
Dy (0.388, 0.612, 0.372)
Dy (0.612, 0.388, 0.872)
Dy (0.613, 0.387, 0.287)
Ho (0.021, 0.979, 0.789)
Ho (0.114, 0.886, 0.078)
Ho (0.204, 0.796, 0.763)
Ho (0.223, 0.777, 0.371)
Ho (0.484, 0.516, 0.080)
Ho (0.516, 0.484, 0.580)
Ho (0.777, 0.223, 0.871)
Ho (0.796, 0.204, 0.263)
Ho (0.886, 0.114, 0.578)
Ho (0.979, 0.021, 0.289)
Th (0.298, 0.702, 0.068)
Th (0.702, 0.298, 0.568)

Results
ΔE_f = 0.1716 eV per atom
Density of states at the Fermi level = 29.2 states/eV/cell
Total energy = -4.766 eV per atom

---

[3]
The following is a DFT calculation (GGA-PBE) of LaDy2HoTl4 after structural relaxation.

a = 9.456 Å, b = 9.456 Å, c = 9.456 Å
α = 33.35°, β = 33.35°, γ = 33.35°
Positions (direct):
La (0.000, 0.000, 0.000)
Dy (0.249, 0.249, 0.249)
Dy (0.751, 0.751, 0.751)
Ho (0.500, 0.500, 0.500)
Tl (0.127, 0.127, 0.127)
Tl (0.378, 0.378, 0.378)
Tl (0.622, 0.622, 0.622)
Tl (0.873, 0.873, 0.873)

Results
ΔE_f = -0.3503 eV per atom
Density of states at the Fermi level = 6.9 states/eV/cell
Total energy = -3.872 eV per atom

---

[4]
The following is a DFT calculation (GGA-PBE) of La2DyHoTl2 after structural relaxation.

a = 5.109 Å, b = 10.291 Å, c = 6.959 Å
α = 90.00°, β = 90.00°, γ = 90.00°
Positions (direct):
La (0.000, 0.061, 0.000)
La (0.000, 0.939, 0.500)
La (0.500, 0.179, 0.220)
La (0.500, 0.821, 0.720)
Dy (0.500, 0.458, 0.867)
Dy (0.500, 0.542, 0.367)
Ho (0.000, 0.308, 0.579)
Ho (0.000, 0.692, 0.079)
Tl (0.000, 0.390, 0.128)
Tl (0.000, 0.610, 0.628)
Tl (0.500, 0.150, 0.707)
Tl (0.500, 0.850, 0.207)

Results
ΔE_f = -0.2853 eV per atom
Density of states at the Fermi level = 11.8 states/eV/cell
Total energy = -4.246 eV per atom

---

[5]
The following is a DFT calculation (GGA-PBE) of LaDy2HoTl2 after structural relaxation.

a = 5.184 Å, b = 10.131 Å, c = 6.831 Å
α = 90.00°, β = 90.00°, γ = 90.00°
Positions (direct):
La (0.000, 0.043, 0.000)
La (0.000, 0.957, 0.500)
Dy (0.000, 0.320, 0.380)
Dy (0.000, 0.680, 0.880)
Dy (0.500, 0.455, 0.094)
Dy (0.500, 0.545, 0.594)
Ho (0.500, 0.196, 0.724)
Ho (0.500, 0.804, 0.224)
Tl (0.000, 0.367, 0.842)
Tl (0.000, 0.633, 0.342)
Tl (0.500, 0.141, 0.266)
Tl (0.500, 0.859, 0.766)

Results
ΔE_f = -0.2674 eV per atom
Density of states at the Fermi level = 12.9 states/eV/cell
Total energy = -4.174 eV per atom

---

[6]
The following is a DFT calculation (GGA-PBE) of La2DyHo2Tm after structural relaxation.

a = 7.055 Å, b = 5.680 Å, c = 9.836 Å
α = 90.00°, β = 90.00°, γ = 90.00°
Positions (direct):
La (0.000, 0.000, 0.000)
La (0.250, 0.500, 0.180)
La (0.500, 0.000, 0.000)
La (0.750, 0.500, 0.820)
Dy (0.250, 0.000, 0.657)
Dy (0.750, 0.000, 0.343)
Ho (0.250, 0.000, 0.335)
Ho (0.250, 0.500, 0.833)
Ho (0.750, 0.000, 0.665)
Ho (0.750, 0.500, 0.167)
Tm (0.000, 0.500, 0.500)
Tm (0.500, 0.500, 0.500)

Results
ΔE_f = 0.0699 eV per atom
Density of states at the Fermi level = 19.1 states/eV/cell
Total energy = -4.611 eV per atom

---

[7]
The following is a DFT calculation (GGA-PBE) of La2DyHo4Tm after structural relaxation.

a = 9.514 Å, b = 9.514 Å, c = 9.514 Å
α = 138.15°, β = 103.00°, γ = 91.73°
Positions (direct):
La (0.000, 0.000, 0.000)
La (0.500, 0.000, 0.000)
La (0.500, 0.000, 0.500)
La (0.500, 0.500, 0.500)
Dy (0.000, 0.500, 0.500)
Dy (0.500, 0.500, 0.000)
Ho (0.243, 0.749, 0.494)
Ho (0.245, 0.247, 0.502)
Ho (0.245, 0.742, 0.998)
Ho (0.246, 0.251, 0.994)
Ho (0.754, 0.749, 0.006)
Ho (0.755, 0.258, 0.002)
Ho (0.755, 0.753, 0.498)
Ho (0.757, 0.251, 0.506)
Tm (0.000, 0.000, 0.500)
Tm (0.000, 0.500, 0.000)

Results
ΔE_f = 0.4142 eV per atom
Density of states at the Fermi level = 39.7 states/eV/cell
Total energy = -4.241 eV per atom

---

[8]
The following is a DFT calculation (GGA-PBE) of La5Dy2HoTm after structural relaxation.

a = 11.399 Å, b = 11.399 Å, c = 11.399 Å
α = 138.49°, β = 138.49°, γ = 60.15°
Positions (direct):
La (0.000, 0.000, 0.000)
La (0.077, 0.577, 0.925)
La (0.152, 0.077, 0.500)
La (0.348, 0.848, 0.925)
La (0.423, 0.348, 0.500)
La (0.500, 0.500, 0.000)
La (0.577, 0.652, 0.500)
La (0.652, 0.152, 0.075)
La (0.848, 0.923, 0.500)
La (0.923, 0.423, 0.075)
Dy (0.129, 0.371, 0.500)
Dy (0.371, 0.871, 0.242)
Dy (0.629, 0.129, 0.758)
Dy (0.871, 0.629, 0.500)
Ho (0.250, 0.250, 0.000)
Ho (0.750, 0.750, 0.000)
Tm (0.250, 0.750, 0.500)
Tm (0.750, 0.250, 0.500)

Results
ΔE_f = 0.2977 eV per atom
Density of states at the Fermi level = 27.6 states/eV/cell
Total energy = -4.468 eV per atom

---

Look up the density of states at the Fermi level of the sixth one.
19.1 states/eV/cell

---

Which of these has the lowest total energy?
LaDy3Ho6Th2